PBE TbNdHoPu, relaxed; symmetry = F-43m (216); energy relative to the elements = 0.209 eV per atom; DOS(E_F) = 11.7 states/eV per cell; uncorrected energy = -27.47 eV/cell
1.0
0.0000 3.9848 3.9848
3.9848 0.0000 3.9848
3.9848 3.9848 0.0000
Tb Nd Ho Pu
1 1 1 1
Cartesian
0.0000 0.0000 0.0000
3.9848 3.9848 3.9848
5.9772 5.9772 5.9772
1.9924 1.9924 1.9924